Entry 1:
{
  "formula": "Ce2PHPt6",
  "functional": "PBE",
  "state": "relaxed",
  "cell": [[4.949, -2.852, 0.000], [4.949, 2.852, 0.000], [-3.306, 0.000, 5.969]],
  "species": ["Ce", "Ce", "P", "H", "Pt", "Pt", "Pt", "Pt", "Pt", "Pt"],
  "frac_coords": [[0.220, 0.220, 0.160], [0.780, 0.780, 0.840], [0.500, 0.500, 0.000], [0.000, 0.000, 0.500], [0.233, 0.233, 0.698], [0.233, 0.731, 0.698], [0.269, 0.767, 0.302], [0.731, 0.233, 0.698], [0.767, 0.269, 0.302], [0.767, 0.767, 0.302]],
  "crystal_system": "monoclinic",
  "total_energy_ev_per_cell": -64.7,
  "magnetic_moment_mub_per_cell": 0.935
}

Entry 2:
{
  "formula": "Ni6Rh2W",
  "functional": "PBE",
  "state": "relaxed",
  "cell": [[5.453, -1.819, 0.000], [5.453, 1.819, 0.000], [-1.828, 0.000, 5.556]],
  "species": ["Ni", "Ni", "Ni", "Ni", "Ni", "Ni", "Rh", "Rh", "W"],
  "frac_coords": [[0.118, 0.118, 0.178], [0.225, 0.225, 0.832], [0.330, 0.330, 0.499], [0.670, 0.670, 0.501], [0.775, 0.775, 0.168], [0.882, 0.882, 0.822], [0.444, 0.444, 0.169], [0.556, 0.556, 0.831], [0.000, 0.000, 0.500]],
  "formation_enthalpy_0k_ev_per_atom": -0.058,
  "crystal_system": "monoclinic",
  "magnetic_moment_mub_per_cell": 1.618
}

Entry 3:
{
  "formula": "YBePt3",
  "functional": "PBE",
  "state": "relaxed",
  "cell": [[5.844, -1.822, 0.000], [5.844, 1.822, 0.000], [-0.159, 0.000, 7.890]],
  "species": ["Y", "Y", "Be", "Be", "Pt", "Pt", "Pt", "Pt", "Pt", "Pt"],
  "frac_coords": [[0.130, 0.130, 0.064], [0.870, 0.870, 0.936], [0.313, 0.313, 0.451], [0.687, 0.687, 0.549], [0.099, 0.099, 0.417], [0.231, 0.231, 0.727], [0.447, 0.447, 0.226], [0.553, 0.553, 0.774], [0.769, 0.769, 0.273], [0.901, 0.901, 0.583]],
  "formation_enthalpy_0k_ev_per_atom": -0.700,
  "crystal_system": "monoclinic",
  "magnetic_moment_mub_per_cell": 0.000
}

Entry 4:
{
  "formula": "BaScCl2",
  "functional": "PBE",
  "state": "relaxed",
  "cell": [[4.494, -1.836, 0.000], [4.494, 1.836, 0.000], [-3.388, 0.000, 7.440]],
  "species": ["Ba", "Sc", "Cl", "Cl"],
  "frac_coords": [[0.000, 0.000, 0.000], [0.871, 0.871, 0.393], [0.413, 0.413, 0.652], [0.570, 0.570, 0.351]],
  "raw_formation_energy_ev_per_atom": -1.31,
  "crystal_system": "monoclinic",
  "magnetic_moment_mub_per_cell": 0.816
}

Entry 5:
{
  "formula": "Dy3Sc2Bi4",
  "functional": "PBE",
  "state": "relaxed",
  "cell": [[7.371, -2.200, 0.000], [7.371, 2.200, 0.000], [-5.758, 0.000, 8.080]],
  "species": ["Dy", "Dy", "Dy", "Sc", "Sc", "Bi", "Bi", "Bi", "Bi"],
  "frac_coords": [[0.000, 0.000, 0.000], [0.356, 0.356, 0.298], [0.644, 0.644, 0.702], [0.316, 0.316, 0.640], [0.684, 0.684, 0.360], [0.057, 0.057, 0.384], [0.326, 0.326, 0.942], [0.674, 0.674, 0.058], [0.943, 0.943, 0.616]],
  "formation_enthalpy_0k_ev_per_atom": -0.630,
  "crystal_system": "monoclinic",
  "magnetic_moment_mub_per_cell": 0.005
}

Entry 6:
{
  "formula": "Pm2Er4In",
  "functional": "PBE",
  "state": "relaxed",
  "cell": [[6.474, 0.000, 0.000], [0.000, 6.241, 0.000], [0.000, 0.000, 10.664]],
  "species": ["Pm", "Pm", "Pm", "Pm", "Er", "Er", "Er", "Er", "Er", "Er", "Er", "Er", "In", "In"],
  "frac_coords": [[0.000, 0.244, 0.042], [0.000, 0.756, 0.958], [0.500, 0.244, 0.458], [0.500, 0.756, 0.542], [0.000, 0.067, 0.345], [0.000, 0.933, 0.655], [0.250, 0.403, 0.750], [0.250, 0.597, 0.250], [0.500, 0.067, 0.155], [0.500, 0.933, 0.845], [0.750, 0.403, 0.750], [0.750, 0.597, 0.250], [0.000, 0.500, 0.500], [0.500, 0.500, 0.000]],
  "formation_enthalpy_0k_ev_per_atom": -0.048,
  "crystal_system": "orthorhombic",
  "magnetic_moment_mub_per_cell": 0.001
}